1.
PBE-GGA Ac2Dy3Y5, relaxed; space-group type = C2/c, No. 15
1.0
5.0551 -7.4624 0.0000
5.0551 7.4624 0.0000
-3.4155 0.0000 9.5206
Ac Dy Y
4 6 10
Cartesian
2.5075 1.6268 0.0002
0.7998 -1.6268 4.7606
5.8948 1.6268 4.7601
4.1871 -1.6268 9.5204
2.0839 1.8405 3.8745
4.2012 3.6750 2.3802
0.3762 -1.8405 8.6348
6.3184 1.8405 0.8858
2.4934 -3.6750 7.1405
4.6107 -1.8405 5.6461
-0.4525 1.8765 5.6588
2.4934 6.9861 7.1405
2.4934 3.7219 7.1405
1.2553 -1.8765 0.8985
2.4934 0.4448 7.1405
4.2012 -0.4448 2.3802
5.4393 1.8765 8.6221
4.2012 -3.7219 2.3802
4.2012 -6.9861 2.3802
7.1471 -1.8765 3.8618

=====

2.
PBE-GGA AcDy7Y4, relaxed; E above lowest polymorph = 292.4 meV per atom; space-group type = C2/m, No. 12
1.0
6.1312 -3.0265 0.0000
6.1312 3.0265 0.0000
-6.0891 0.0000 11.0475
Ac Dy Y
1 7 4
Cartesian
0.0000 0.0000 0.0000
-1.4501 0.0000 3.8066
-2.9544 0.0000 10.1581
1.4931 0.0000 5.4318
6.1312 0.0000 0.0000
4.6801 0.0000 5.6157
9.1276 0.0000 0.8894
7.6233 0.0000 7.2409
-0.9905 0.0000 7.5699
3.2249 0.0000 2.4805
2.9484 0.0000 8.5670
7.1638 0.0000 3.4776

=====

| no. | formation energy (meV/atom) | final energy (eV/atom) |
| --- | --- | --- |
| 1 | 209 | -5.23 |
| 2 | 304 | -4.88 |